No. 1
K2Re PBE optimized geometry; SG = Cm (8); ΔH_f (0 K) = 849 meV/atom; total magnetization = 0.000 μB per formula unit
1.0
1.8285 6.6253 -0.2278
-1.8285 6.6253 -0.2278
0.0000 2.7056 10.3251
K Re
4 2
Direct
0.0203 0.0203 0.0181
0.6055 0.6055 0.5621
0.3021 0.3021 0.8357
0.3817 0.3817 0.3363
0.1399 0.1399 0.2659
0.7170 0.7170 0.1485

=====

No. 2
K3Re PBE optimized geometry; SG = Fm-3m (225); ΔH_f (0 K) = 1494 meV/atom; total magnetization = 3.912 μB per formula unit
1.0
-3.1326 5.3559 0.1112
-4.8897 0.8129 -3.7338
-5.7260 0.1967 2.3844
K Re
3 1
Direct
0.7500 0.7500 0.7500
0.5000 0.5000 0.5000
0.2500 0.2500 0.2500
0.0000 0.0000 0.0000

=====

No. 3
KRe5 PBE optimized geometry; SG = F-43m (216); ΔH_f (0 K) = 1085 meV/atom; total magnetization = 0.000 μB per formula unit
1.0
0.0000 3.7282 3.7282
3.7282 0.0000 3.7282
3.7282 3.7282 0.0000
Re K
5 1
Direct
0.6251 0.6251 0.1246
0.6251 0.6251 0.6251
0.1246 0.6251 0.6251
0.6251 0.1246 0.6251
0.2500 0.2500 0.2500
0.0000 0.0000 0.0000

=====

No. 4
K2Re PBE optimized geometry; SG = P-62m (189); ΔH_f (0 K) = 1565 meV/atom; total magnetization = 1.707 μB per formula unit
1.0
5.1989 -9.0047 0.0000
5.1989 9.0047 0.0000
0.0000 0.0000 2.7253
K Re
6 3
Direct
0.3495 0.3495 0.0000
0.6828 0.6828 0.5000
0.0000 0.6505 0.0000
0.0000 0.3172 0.5000
0.3172 0.0000 0.5000
0.6505 0.0000 0.0000
0.3333 0.6667 0.5000
0.0000 0.0000 0.0000
0.6667 0.3333 0.5000

=====

Number 1: calculated total energy -24.19 eV for the cell shown, excess energy over the best structure of this formula in the dataset 26 meV/atom. Number 2: calculated total energy -9.76 eV for the cell shown, excess energy over the best structure of this formula in the dataset 141 meV/atom. Number 3: calculated total energy -56.83 eV for the cell shown, excess energy over the best structure of this formula in the dataset 356 meV/atom. Number 4: calculated total energy -29.85 eV for the cell shown, excess energy over the best structure of this formula in the dataset 742 meV/atom.